A geometry-optimized LaPm5Te6 structure, computed with PBE-GGA.

Calculated values
Formation energy without anion corrections (meV per atom): -1441
Magnetic moment (μB/atom): 0.000
Calculated density (g cm⁻³): 7.06
E (eV/f.u.): -64.83
Fermi-level density of states (states/eV per cell): 12.36
V (Å³/f.u.): 383.02

```
data_LaPm5Te6
_chemical_formula_sum 'La2 Pm10 Te12'
_symmetry_space_group_name_H-M 'C 1 2/m 1'
_symmetry_Int_Tables_number 12
_symmetry_space_group_name_Hall '-C 2y'
_cell_length_a 7.757
_cell_length_b 13.509
_cell_length_c 7.764
_cell_angle_alpha 90.00
_cell_angle_beta 109.68
_cell_angle_gamma 90.00
loop_
_atom_site_label
_atom_site_fract_x
_atom_site_fract_y
_atom_site_fract_z
_atom_site_occupancy
La1 0.000 0.000 0.000 1
Pm1 0.000 0.164 0.500 1
Pm2 0.000 0.332 0.000 1
Pm3 0.000 0.500 0.500 1
Te1 0.245 0.500 0.250 1
Te2 0.246 0.331 0.746 1
```

A geometry-optimized Tl2GePbBr6 structure, computed with PBE-GGA.

Calculated values
Formation energy without anion corrections (meV per atom): -789
Magnetic moment (μB/atom): 0.000
Calculated density (g cm⁻³): 5.52
E (eV/f.u.): -30.98
Fermi-level density of states (states/eV per cell): 0.00
V (Å³/f.u.): 351.51

```
data_Tl2GePbBr6
_chemical_formula_sum 'Tl4 Ge2 Pb2 Br12'
_symmetry_space_group_name_H-M 'P 1 21/c 1'
_symmetry_Int_Tables_number 14
_symmetry_space_group_name_Hall '-P 2ybc'
_cell_length_a 7.676
_cell_length_b 8.187
_cell_length_c 13.534
_cell_angle_alpha 90.00
_cell_angle_beta 124.24
_cell_angle_gamma 90.00
loop_
_atom_site_label
_atom_site_fract_x
_atom_site_fract_y
_atom_site_fract_z
_atom_site_occupancy
Tl1 0.217 0.080 0.247 1
Ge1 0.000 0.000 0.500 1
Pb1 0.500 0.000 0.000 1
Br1 0.126 0.207 0.945 1
Br2 0.247 0.687 0.947 1
Br3 0.350 0.029 0.740 1
```

A geometry-optimized Ca2P2Os2C structure, computed with PBE-GGA.

Calculated values
Magnetic moment (μB/atom): 0.000
Calculated density (g cm⁻³): 7.21
E (eV/f.u.): -50.85
Fermi-level density of states (states/eV per cell): 4.76
V (Å³/f.u.): 123.09
Energy of formation from the pure elements (eV/atom): -0.621

```
data_Ca2P2Os2C
_chemical_formula_sum 'Ca4 P4 Os4 C2'
_symmetry_space_group_name_H-M 'C 1 2/m 1'
_symmetry_Int_Tables_number 12
_symmetry_space_group_name_Hall '-C 2y'
_cell_length_a 11.227
_cell_length_b 3.933
_cell_length_c 6.816
_cell_angle_alpha 90.00
_cell_angle_beta 125.12
_cell_angle_gamma 90.00
loop_
_atom_site_label
_atom_site_fract_x
_atom_site_fract_y
_atom_site_fract_z
_atom_site_occupancy
Ca1 0.065 0.000 0.312 1
P1 0.181 0.500 0.720 1
Os1 0.191 0.500 0.078 1
C1 0.000 0.500 0.000 1
```

A geometry-optimized Tm3Ga2Au6 structure, computed with PBE-GGA.

Calculated values
Magnetic moment (μB/atom): 0.000
Calculated density (g cm⁻³): 13.01
E (eV/f.u.): -45.01
Fermi-level density of states (states/eV per cell): 12.48
V (Å³/f.u.): 233.36
Energy of formation from the pure elements (eV/atom): -0.535

```
data_Tm3Ga2Au6
_chemical_formula_sum 'Tm6 Ga4 Au12'
_symmetry_space_group_name_H-M 'I 4/m m m'
_symmetry_Int_Tables_number 139
_symmetry_space_group_name_Hall '-I 4 2'
_cell_length_a 3.949
_cell_length_b 3.949
_cell_length_c 29.933
_cell_angle_alpha 90.00
_cell_angle_beta 90.00
_cell_angle_gamma 90.00
loop_
_atom_site_label
_atom_site_fract_x
_atom_site_fract_y
_atom_site_fract_z
_atom_site_occupancy
Tm1 0.000 0.000 0.000 1
Tm2 0.000 0.000 0.178 1
Ga1 0.000 0.000 0.364 1
Au1 0.000 0.000 0.276 1
Au2 0.000 0.500 0.075 1
```

A geometry-optimized Cs4LiTl5 structure, computed with PBE-GGA.

Calculated values
Magnetic moment (μB/atom): 0.000
Calculated density (g cm⁻³): 5.41
E (eV/f.u.): -17.97
Fermi-level density of states (states/eV per cell): 3.65
V (Å³/f.u.): 478.91
Energy of formation from the pure elements (eV/atom): -0.081

```
data_Cs4LiTl5
_chemical_formula_sum 'Cs8 Li2 Tl10'
_symmetry_space_group_name_H-M 'I 4 m m'
_symmetry_Int_Tables_number 107
_symmetry_space_group_name_Hall 'I 4 -2'
_cell_length_a 11.385
_cell_length_b 11.385
_cell_length_c 7.390
_cell_angle_alpha 90.00
_cell_angle_beta 90.00
_cell_angle_gamma 90.00
loop_
_atom_site_label
_atom_site_fract_x
_atom_site_fract_y
_atom_site_fract_z
_atom_site_occupancy
Cs1 0.000 0.302 0.000 1
Li1 0.000 0.000 0.195 1
Tl1 0.000 0.000 0.810 1
Tl2 0.137 0.137 0.487 1
```

A geometry-optimized KRe4Ag structure, computed with PBE-GGA.

Calculated values
Magnetic moment (μB/atom): 0.000
Calculated density (g cm⁻³): 13.56
E (eV/f.u.): -47.02
Fermi-level density of states (states/eV per cell): 25.15
V (Å³/f.u.): 109.19
Energy of formation from the pure elements (eV/atom): 1.121

```
data_KRe4Ag
_chemical_formula_sum 'K4 Re16 Ag4'
_symmetry_space_group_name_H-M 'F -4 3 m'
_symmetry_Int_Tables_number 216
_symmetry_space_group_name_Hall 'F -4 2 3'
_cell_length_a 7.587
_cell_length_b 7.587
_cell_length_c 7.587
_cell_angle_alpha 90.00
_cell_angle_beta 90.00
_cell_angle_gamma 90.00
loop_
_atom_site_label
_atom_site_fract_x
_atom_site_fract_y
_atom_site_fract_z
_atom_site_occupancy
K1 0.000 0.000 0.000 1
Re1 0.125 0.125 0.625 1
Ag1 0.250 0.250 0.250 1
```

A geometry-optimized Nb8ReW2 structure, computed with PBE-GGA.

Calculated values
Magnetic moment (μB/atom): 0.000
Calculated density (g cm⁻³): 9.61
E (eV/f.u.): -111.59
Fermi-level density of states (states/eV per cell): 21.43
V (Å³/f.u.): 224.08
Energy of formation from the pure elements (eV/atom): 0.666

```
data_Nb8ReW2
_chemical_formula_sum 'Nb16 Re2 W4'
_symmetry_space_group_name_H-M 'C 1 2/m 1'
_symmetry_Int_Tables_number 12
_symmetry_space_group_name_Hall '-C 2y'
_cell_length_a 10.639
_cell_length_b 9.105
_cell_length_c 5.029
_cell_angle_alpha 90.00
_cell_angle_beta 113.09
_cell_angle_gamma 90.00
loop_
_atom_site_label
_atom_site_fract_x
_atom_site_fract_y
_atom_site_fract_z
_atom_site_occupancy
Nb1 0.075 0.000 0.289 1
Nb2 0.087 0.255 0.827 1
Nb3 0.231 0.000 0.884 1
Re1 0.000 0.500 0.000 1
W1 0.129 0.500 0.546 1
```

A geometry-optimized Tb2ErMn structure, computed with PBE-GGA.

Calculated values
Magnetic moment (μB/atom): 0.955
Calculated density (g cm⁻³): 8.30
E (eV/f.u.): -22.45
Fermi-level density of states (states/eV per cell): 5.88
V (Å³/f.u.): 108.03
Energy of formation from the pure elements (eV/atom): 0.135

```
data_Tb2ErMn
_chemical_formula_sum 'Tb2 Er1 Mn1'
_symmetry_space_group_name_H-M 'P 4/m m m'
_symmetry_Int_Tables_number 123
_symmetry_space_group_name_Hall '-P 4 2'
_cell_length_a 3.548
_cell_length_b 3.548
_cell_length_c 8.580
_cell_angle_alpha 90.00
_cell_angle_beta 90.00
_cell_angle_gamma 90.00
loop_
_atom_site_label
_atom_site_fract_x
_atom_site_fract_y
_atom_site_fract_z
_atom_site_occupancy
Tb1 0.000 0.000 0.205 1
Er1 0.500 0.500 0.500 1
Mn1 0.500 0.500 0.000 1
```